{"formula": "CaNb2As2", "functional": "GGA-PBE", "state": "relaxed", "cell": [[7.469, 0.000, 0.000], [0.000, 7.469, 0.000], [0.000, 0.000, 3.399]], "species": ["Ca", "Ca", "Nb", "Nb", "Nb", "Nb", "As", "As", "As", "As"], "frac_coords": [[0.000, 0.000, 0.000], [0.500, 0.500, 0.000], [0.144, 0.356, 0.500], [0.356, 0.856, 0.500], [0.644, 0.144, 0.500], [0.856, 0.644, 0.500], [0.144, 0.644, 0.000], [0.356, 0.144, 0.000], [0.644, 0.856, 0.000], [0.856, 0.356, 0.000]], "ef_ev_per_atom": -0.461, "relative_energy_mev_per_atom": 220, "crystal_system": "tetragonal", "dft_energy_ev_per_fu": -33.7, "spacegroup": "P4/mbm (127)"}